# 1
The following is a DFT calculation (meta-GGA SCAN) of a PBEsol-optimized structure of AlGa3C.

```
5
Lattice="4.282 0.000 0.000 0.000 4.282 0.000 0.000 0.000 4.282" Properties=species:S:1:pos:R:3 pbc="T T T"
Al 2.141 2.141 2.141
Ga 0.000 2.141 0.000
Ga 2.141 0.000 0.000
Ga 0.000 0.000 2.141
C 0.000 0.000 0.000
```

* calculated density: 5.25 g/cm3
* volume: 78.5 Å³/cell
* ΔE_f: 0.8132 eV per atom
* size of the total moment: 0.00 μB per formula unit

# 2
The following is a DFT calculation (meta-GGA SCAN) of a PBEsol-optimized structure of AlCd2Co.

```
4
Lattice="-1.055 -3.118 -0.163 2.902 -1.075 1.787 -2.708 0.666 4.798" Properties=species:S:1:pos:R:3 pbc="T T T"
Co 0.923 -2.097 0.812
Al -0.431 -1.764 3.211
Cd -2.060 0.506 3.649
Cd -0.649 0.159 1.149
```

* calculated density: 7.89 g/cm3
* volume: 65.4 Å³/cell
* ΔE_f: 0.2171 eV per atom
* size of the total moment: 1.45 μB per formula unit

# 3
The following is a DFT calculation (meta-GGA SCAN) of a PBEsol-optimized structure of TcSb2Rh.

```
4
Lattice="4.605 0.000 0.000 2.303 3.988 0.000 2.303 1.329 3.760" Properties=species:S:1:pos:R:3 pbc="T T T"
Tc 4.605 2.659 1.880
Sb 2.303 1.329 0.940
Sb 6.908 3.988 2.820
Rh 0.000 0.000 0.000
```

* calculated density: 10.69 g/cm3
* E_form (uncorrected): 0.10 eV/atom
* volume: 69.1 Å³/cell
* size of the total moment: 1.47 μB per formula unit
* energy relative to the lowest polymorph listed for this composition: 0.069 eV/atom

# 4
The following is a DFT calculation (meta-GGA SCAN) of a PBEsol-optimized structure of ScFeTe2N.

```
5
Lattice="3.428 0.000 0.000 0.000 5.212 0.000 0.000 0.000 5.212" Properties=species:S:1:pos:R:3 pbc="T T T"
Sc 1.714 2.606 2.606
Fe 0.000 0.000 0.000
Te 0.000 0.000 2.606
Te 0.000 2.606 0.000
N 1.714 0.000 0.000
```

* calculated density: 6.60 g/cm3
* E_form (uncorrected): -0.16 eV/atom
* volume: 93.1 Å³/cell
* size of the total moment: 0.00 μB per formula unit

# 5
The following is a DFT calculation (meta-GGA SCAN) of a PBEsol-optimized structure of Zr2HgSe.

```
4
Lattice="-1.883 -0.005 -4.426 -0.493 -4.139 -2.399 -4.381 -1.839 -0.748" Properties=species:S:1:pos:R:3 pbc="T T T"
Zr -5.067 -4.487 -5.680
Zr -1.689 -1.496 -1.893
Se -3.378 -2.991 -3.786
Hg 0.000 0.000 0.000
```

* calculated density: 9.75 g/cm3
* E_form (uncorrected): -0.52 eV/atom
* volume: 78.7 Å³/cell
* size of the total moment: 0.00 μB per formula unit
* energy relative to the lowest polymorph listed for this composition: 0.092 eV/atom

# 6
The following is a DFT calculation (meta-GGA SCAN) of a PBEsol-optimized structure of LaZn2Tc.

```
4
Lattice="-1.216 -0.788 4.086 -1.760 -3.092 -3.421 1.884 -3.900 -0.191" Properties=species:S:1:pos:R:3 pbc="T T T"
Zn -0.713 -2.718 -0.737
Zn 0.000 0.000 0.000
La 0.334 -2.344 1.947
Tc -0.380 -5.062 1.211
```

* calculated density: 8.40 g/cm3
* volume: 72.7 Å³/cell
* ΔE_f: 0.3110 eV per atom
* size of the total moment: 0.00 μB per formula unit
* energy relative to the lowest polymorph listed for this composition: 0.243 eV/atom

# 7
The following is a DFT calculation (meta-GGA SCAN) of a PBEsol-optimized structure of LaScMo.

```
3
Lattice="4.673 0.000 0.000 2.336 4.047 0.000 2.336 1.349 3.815" Properties=species:S:1:pos:R:3 pbc="T T T"
Sc 0.000 0.000 0.000
La 4.673 2.698 1.908
Mo 7.009 4.047 2.861
```

* calculated density: 6.44 g/cm3
* volume: 72.1 Å³/cell
* ΔE_f: 0.5922 eV per atom
* size of the total moment: 0.00 μB per formula unit

# 8
The following is a DFT calculation (meta-GGA SCAN) of a PBEsol-optimized structure of MgZnP2.

```
4
Lattice="-0.664 -2.781 -0.812 2.822 -0.810 0.463 -1.573 -1.604 6.781" Properties=species:S:1:pos:R:3 pbc="T T T"
Mg 0.293 -2.597 3.216
Zn 1.079 -1.795 -0.175
P -0.385 -0.393 1.662
P -1.187 -1.211 5.119
```

* calculated density: 3.99 g/cm3
* volume: 63.1 Å³/cell
* ΔE_f: 0.1750 eV per atom
* size of the total moment: 0.00 μB per formula unit
* energy relative to the lowest polymorph listed for this composition: 0.065 eV/atom

# 9
The following is a DFT calculation (meta-GGA SCAN) of a PBEsol-optimized structure of BiIrI3.

```
5
Lattice="-3.224 -4.054 -1.087 3.634 -3.383 1.835 -2.101 0.371 4.844" Properties=species:S:1:pos:R:3 pbc="T T T"
Bi -0.846 -3.533 2.796
I 1.817 -1.691 0.918
I -1.050 0.186 2.422
I -1.612 -2.027 -0.544
Ir 0.000 0.000 0.000
```

* calculated density: 8.76 g/cm3
* E_form (uncorrected): 0.44 eV/atom
* volume: 148.3 Å³/cell
* size of the total moment: 0.00 μB per formula unit

# 10
The following is a DFT calculation (meta-GGA SCAN) of a PBEsol-optimized structure of CrCd2W.

```
4
Lattice="-1.414 1.251 -2.622 2.623 -2.282 -2.503 -3.692 -3.012 2.544" Properties=species:S:1:pos:R:3 pbc="T T T"
Cd -1.485 -1.696 -0.009
Cd -0.999 -2.347 -2.572
W 1.311 -1.141 -1.252
Cr -0.707 0.626 -1.311
```

* calculated density: 11.79 g/cm3
* volume: 64.9 Å³/cell
* ΔE_f: 0.6122 eV per atom
* size of the total moment: 1.62 μB per formula unit
* energy relative to the lowest polymorph listed for this composition: 0.026 eV/atom

# 11
The following is a DFT calculation (meta-GGA SCAN) of a PBEsol-optimized structure of Mg2PBr.

```
4
Lattice="3.869 0.000 0.000 1.934 4.881 0.185 1.934 0.240 4.879" Properties=species:S:1:pos:R:3 pbc="T T T"
Mg 3.869 1.121 1.109
Mg 3.869 4.000 3.955
Br 1.934 2.560 2.532
P 1.934 0.000 0.000
```

* calculated density: 2.88 g/cm3
* E_form (uncorrected): -0.62 eV/atom
* volume: 92.0 Å³/cell
* size of the total moment: 0.00 μB per formula unit
* energy relative to the lowest polymorph listed for this composition: 0.429 eV/atom

# 12
The following is a DFT calculation (meta-GGA SCAN) of a PBEsol-optimized structure of BaAl8.

```
9
Lattice="4.383 0.000 0.000 2.191 6.433 0.000 2.191 0.000 6.433" Properties=species:S:1:pos:R:3 pbc="T T T"
Al 4.383 3.973 0.000
Al 2.191 2.460 0.000
Al 2.191 2.273 4.160
Al 4.383 2.273 2.273
Al 2.191 4.160 2.273
Al 4.383 0.000 3.973
Al 4.383 4.160 4.160
Al 2.191 0.000 2.460
Ba 0.000 0.000 0.000
```

* calculated density: 3.23 g/cm3
* volume: 181.4 Å³/cell
* ΔE_f: 0.1017 eV per atom
* size of the total moment: 0.00 μB per formula unit

What did the twelfth record say?
The following is a DFT calculation (meta-GGA SCAN) of a PBEsol-optimized structure of BaAl8.

```
9
Lattice="4.383 0.000 0.000 2.191 6.433 0.000 2.191 0.000 6.433" Properties=species:S:1:pos:R:3 pbc="T T T"
Al 4.383 3.973 0.000
Al 2.191 2.460 0.000
Al 2.191 2.273 4.160
Al 4.383 2.273 2.273
Al 2.191 4.160 2.273
Al 4.383 0.000 3.973
Al 4.383 4.160 4.160
Al 2.191 0.000 2.460
Ba 0.000 0.000 0.000
```

* calculated density: 3.23 g/cm3
* volume: 181.4 Å³/cell
* ΔE_f: 0.1017 eV per atom
* size of the total moment: 0.00 μB per formula unit